# 1
Compound: ScTaCoC2
Source: Alexandria
Functional: GGA-PBE
Structure: relaxed

The calculation puts the density of states at the Fermi level at 5.78 states/eV per cell. For the formation energy from the elements, the calculation gives 1804 meV/atom.

The space group is P4/mmm (No. 123) and the conventional cell measures 4.104, 4.104 and 5.580 Å, with angles of 90.00, 90.00 and 90.00 degrees. Symmetry generates all atoms from Sc at (0.000, 0.000, 0.000), Ta at (0.000, 0.000, 0.500), Co at (0.500, 0.500, 0.000) and C at (0.000, 0.500, 0.500).

---

# 2
Compound: Sc2CoTeC
Source: Alexandria
Functional: GGA-PBE
Structure: relaxed

The calculation puts the density of states at the Fermi level at 5.02 states/eV per cell. The formation energy without anion corrections comes out at -2.61 eV per formula unit.

The space group is P4/mmm (No. 123) and the conventional cell measures 4.727, 4.727 and 3.726 Å, with angles of 90.00, 90.00 and 90.00 degrees. Symmetry generates all atoms from Sc at (0.000, 0.500, 0.000), Co at (0.000, 0.000, 0.500), Te at (0.500, 0.500, 0.500) and C at (0.000, 0.000, 0.000).

---

# 3
Compound: Sc2TlCoC
Source: Alexandria
Functional: GGA-PBE
Structure: relaxed

The calculation puts the density of states at the Fermi level at 4.71 states/eV per cell. For the formation energy from the elements, the calculation gives -328 meV/atom.

The space group is P4/mmm (No. 123) and the conventional cell measures 4.646, 4.646 and 3.788 Å, with angles of 90.00, 90.00 and 90.00 degrees. Symmetry generates all atoms from Sc at (0.000, 0.500, 0.000), Tl at (0.000, 0.000, 0.500), Co at (0.500, 0.500, 0.500) and C at (0.500, 0.500, 0.000).

---

# 4
Compound: ScZnCo2C
Source: Alexandria
Functional: GGA-PBE
Structure: relaxed

The calculation puts the density of states at the Fermi level at 5.20 states/eV per cell. For the formation energy from the elements, the calculation gives -71 meV/atom.

The space group is P4/mmm (No. 123) and the conventional cell measures 3.815, 3.815 and 4.350 Å, with angles of 90.00, 90.00 and 90.00 degrees. Symmetry generates all atoms from Sc at (0.000, 0.000, 0.000), Zn at (0.500, 0.500, 0.000), Co at (0.000, 0.500, 0.500) and C at (0.000, 0.000, 0.500).

---

# 5
Compound: Co2CSe
Source: Alexandria
Functional: GGA-PBE
Structure: relaxed

The calculation puts the density of states at the Fermi level at 11.06 states/eV per cell. The value obtained for the relative energy among the computed polymorphs is 0.0000 eV/atom. The formation energy without anion corrections comes out at 1.01 eV per formula unit.

The space group is I-42d (No. 122) and the conventional cell measures 4.603, 4.603 and 9.952 Å, with angles of 90.00, 90.00 and 90.00 degrees. Symmetry generates all atoms from Co at (0.161, 0.250, 0.125), C at (0.000, 0.000, 0.000) and Se at (0.000, 0.000, 0.500).

---

# 6
Compound: CoCSe3
Source: Alexandria
Functional: GGA-PBE
Structure: relaxed

The calculation puts the density of states at the Fermi level at 3.43 states/eV per cell. The value obtained for the relative energy among the computed polymorphs is 0.0000 eV/atom. The formation energy without anion corrections comes out at 6.61 eV per formula unit.

The space group is Pm-3m (No. 221) and the conventional cell measures 4.355, 4.355 and 4.355 Å, with angles of 90.00, 90.00 and 90.00 degrees. Symmetry generates all atoms from Co at (0.000, 0.000, 0.000), C at (0.500, 0.500, 0.500) and Se at (0.000, 0.500, 0.500).

---

# 7
Compound: CoC2Se
Source: Alexandria
Functional: GGA-PBE
Structure: relaxed

The calculation puts the density of states at the Fermi level at 7.79 states/eV per cell. The formation energy without anion corrections comes out at 4.80 eV per formula unit.

The space group is I-42d (No. 122) and the conventional cell measures 4.571, 4.571 and 9.035 Å, with angles of 90.00, 90.00 and 90.00 degrees. Symmetry generates all atoms from Co at (0.000, 0.000, 0.000), C at (0.212, 0.250, 0.125) and Se at (0.000, 0.000, 0.500).

---

# 8
Compound: Co2CSe
Source: Alexandria
Functional: GGA-PBE
Structure: relaxed

The calculation puts the density of states at the Fermi level at 13.19 states/eV per cell. The value obtained for the relative energy among the computed polymorphs is 0.7780 eV/atom. The formation energy without anion corrections comes out at 4.12 eV per formula unit.

The space group is Fm-3m (No. 225) and the conventional cell measures 5.611, 5.611 and 5.611 Å, with angles of 90.00, 90.00 and 90.00 degrees. Symmetry generates all atoms from Co at (0.250, 0.250, 0.250), C at (0.000, 0.000, 0.000) and Se at (0.000, 0.000, 0.500).

---

# 9
Compound: CoCSe3
Source: Alexandria
Functional: GGA-PBE
Structure: relaxed

The calculation puts the density of states at the Fermi level at 6.81 states/eV per cell. The value obtained for the relative energy among the computed polymorphs is 0.3327 eV/atom. The formation energy without anion corrections comes out at 8.27 eV per formula unit.

The space group is Pm-3m (No. 221) and the conventional cell measures 4.599, 4.599 and 4.599 Å, with angles of 90.00, 90.00 and 90.00 degrees. Symmetry generates all atoms from Co at (0.000, 0.000, 0.000), C at (0.500, 0.500, 0.500) and Se at (0.000, 0.000, 0.500).

---

# 10
Compound: Th8Co3CSe4
Source: Alexandria
Functional: GGA-PBE
Structure: relaxed

The calculation puts the density of states at the Fermi level at 29.99 states/eV per cell. The formation energy without anion corrections comes out at -14.83 eV per formula unit.

The space group is C2/m (No. 12) and the conventional cell measures 13.858, 7.986 and 8.519 Å, with angles of 90.00, 122.78 and 90.00 degrees. Symmetry generates all atoms from Th at (0.012, 0.244, 0.291), Th at (0.233, 0.000, 0.709), Th at (0.236, 0.500, 0.708), Co at (0.000, 0.500, 0.500), Co at (0.250, 0.250, 0.500), C at (0.000, 0.000, 0.500), Se at (0.000, 0.000, 0.000), Se at (0.000, 0.500, 0.000) and Se at (0.250, 0.250, 0.000).

---

# 11
Compound: Th6Co3C2Se
Source: Alexandria
Functional: GGA-PBE
Structure: relaxed

The calculation puts the density of states at the Fermi level at 14.46 states/eV per cell. The formation energy without anion corrections comes out at -4.32 eV per formula unit.

The space group is C2/m (No. 12) and the conventional cell measures 17.127, 3.850 and 8.370 Å, with angles of 90.00, 105.79 and 90.00 degrees. Symmetry generates all atoms from Th at (0.009, 0.000, 0.275), Th at (0.171, 0.500, 0.568), Th at (0.182, 0.500, 0.107), Co at (0.000, 0.500, 0.500), Co at (0.163, 0.000, 0.825), C at (0.169, 0.000, 0.335) and Se at (0.000, 0.500, 0.000).

---

# 12
Compound: Th4CoCSe2
Source: Alexandria
Functional: GGA-PBE
Structure: relaxed

The calculation puts the density of states at the Fermi level at 5.90 states/eV per cell. The formation energy without anion corrections comes out at -7.67 eV per formula unit.

The space group is P2/m (No. 10) and the conventional cell measures 7.056, 3.875 and 7.421 Å, with angles of 90.00, 108.46 and 90.00 degrees. Symmetry generates all atoms from Th at (0.219, 0.000, 0.208), Th at (0.265, 0.500, 0.793), Co at (0.500, 0.000, 0.000), C at (0.000, 0.500, 0.000), Se at (0.000, 0.000, 0.500) and Se at (0.500, 0.500, 0.500).

---

| no. | raw total energy (eV per atom) | M_tot (μB/f.u.) |
| --- | --- | --- |
| 1 | -6.94 | 1.84 |
| 2 | -6.95 | 0.81 |
| 3 | -6.60 | 0.82 |
| 4 | -6.28 | 0.87 |
| 5 | -6.48 | 0.00 |
| 6 | -4.04 | 2.39 |
| 7 | -6.06 | 0.00 |
| 8 | -5.70 | 2.21 |
| 9 | -3.70 | 0.00 |
| 10 | -7.42 | 0.00 |
| 11 | -7.67 | 0.00 |
| 12 | -7.58 | 0.00 |